DFT (GGA-PBE) results for a geometry-optimized RbTl2Os3O12 structure.

Computed properties:
E_form (uncorrected) ... -1.001 eV per atom
Total moment ... 0.00 μB/f.u.

```
data_RbTl2Os3O12
_cell_length_a 7.3330
_cell_length_b 7.3330
_cell_length_c 18.1232
_cell_angle_alpha 90.00
_cell_angle_beta 90.00
_cell_angle_gamma 120.00
_symmetry_space_group_name_H-M 'R -3 m'
_symmetry_Int_Tables_number 166
_symmetry_space_group_name_Hall '-R 3 2"'
loop_
_atom_site_label
_atom_site_fract_x
_atom_site_fract_y
_atom_site_fract_z
Rb1 0.0000 0.0000 0.0000
Tl1 0.0000 0.0000 0.3889
Os1 0.0000 0.5000 0.5000
O1 0.0784 0.5392 0.4050
O2 0.0777 0.5388 0.8112
```